Record 1
The following is a DFT calculation (PBE-GGA) of CeSe2 after structural relaxation.

Cell: 5.2965 5.2965 5.7994 Å, 90.00 90.00 120.00°
Closest atoms and distances in Å follow each position.
Positions (direct):
Ce 0.3333 0.6667 0.2500  5 Se 2.90-3.06
Ce 0.6667 0.3333 0.7500  5 Se 2.90-3.06
Se 0.0000 0.0000 0.0000  2 Se 2.90
Se 0.0000 0.0000 0.5000  2 Se 2.90
Se 0.3333 0.6667 0.7500  5 Ce 2.90-3.06
Se 0.6667 0.3333 0.2500  5 Ce 2.90-3.06

Properties
Uncorrected formation energy   -1.48 eV per atom
Space group   P6_3/mmc, No. 194
Spin magnetization   0.62 μB per formula unit
D(E_F)   10.85 states/eV per cell

***

Record 2
The following is a DFT calculation (PBE-GGA) of Ce4Se3 after structural relaxation.

Cell: 13.9055 13.9055 13.9055 Å, 16.88 16.88 16.88°
Closest atoms and distances in Å follow each position.
Positions (direct):
Ce 0.1231 0.1231 0.1231  6 Se 2.94-2.96
Ce 0.3705 0.3705 0.3705  3 Se 2.95
Ce 0.6295 0.6295 0.6295  3 Se 2.95
Ce 0.8769 0.8769 0.8769  6 Se 2.94-2.96
Se 0.2531 0.2531 0.2531  6 Ce 2.94-2.95
Se 0.5000 0.5000 0.5000  6 Ce 2.96
Se 0.7469 0.7469 0.7469  6 Ce 2.94-2.95

Properties
Uncorrected formation energy   -1.41 eV per atom
Space group   R-3m, No. 166
Spin magnetization   4.15 μB per formula unit
D(E_F)   24.60 states/eV per cell

***

Record 3
The following is a DFT calculation (PBE-GGA) of CeSe2 after structural relaxation.

Cell: 8.0931 8.0931 6.0854 Å, 90.00 90.00 123.08°
Closest atoms and distances in Å follow each position.
Positions (direct):
Ce 0.1127 0.3740 0.2500  7 Se 2.89-3.05
Ce 0.3740 0.1127 0.7500  7 Se 2.89-3.05
Ce 0.6260 0.8873 0.2500  7 Se 2.89-3.05
Ce 0.8873 0.6260 0.7500  7 Se 2.89-3.05
Se 0.0000 0.0000 0.0000  2 Se 3.04, 4 Ce 3.05
Se 0.0000 0.0000 0.5000  2 Se 3.04, 4 Ce 3.05
Se 0.2546 0.7454 0.0004  4 Ce 2.98-2.99, 2 Se 3.04-3.05
Se 0.2546 0.7454 0.4996  4 Ce 2.98-2.99, 2 Se 3.04-3.05
Se 0.4826 0.5174 0.7500  2 Ce 2.89, 2 Se 3.08
Se 0.5174 0.4826 0.2500  2 Ce 2.89, 2 Se 3.08
Se 0.7454 0.2546 0.9996  4 Ce 2.98-2.99, 2 Se 3.04-3.05
Se 0.7454 0.2546 0.5004  4 Ce 2.98-2.99, 2 Se 3.04-3.05

Properties
Uncorrected formation energy   -1.38 eV per atom
Space group   Cmcm, No. 63
Spin magnetization   0.80 μB per formula unit
D(E_F)   21.93 states/eV per cell

***

- Among the records above, which one has the lowest uncorrected formation energy?
  number 1

***

- What is the formula in the third record?
  CeSe2